[1]
{"formula": "HfNpPa2", "functional": "PBE", "state": "optimized geometry", "lattice_angstrom": [[5.3820, 0.0000, 0.0000], [0.0000, 5.3820, 0.0000], [0.0000, 0.0000, 3.1717]], "species": ["Hf", "Np", "Pa", "Pa"], "fractional_positions": [[0.0000, 0.0000, 0.0000], [0.5000, 0.5000, 0.0000], [0.0000, 0.5000, 0.5000], [0.5000, 0.0000, 0.5000]], "final_energy_ev_per_atom": -10.261, "mass_density_kg_m3": 15861}

=====

[2]
{"formula": "HfNpPaSn", "functional": "PBE", "state": "optimized geometry", "lattice_angstrom": [[0.0000, 3.6100, 3.6100], [3.6100, 0.0000, 3.6100], [3.6100, 3.6100, 0.0000]], "species": ["Hf", "Np", "Pa", "Sn"], "fractional_positions": [[0.0000, 0.0000, 0.0000], [0.7500, 0.7500, 0.7500], [0.5000, 0.5000, 0.5000], [0.2500, 0.2500, 0.2500]], "final_energy_ev_per_atom": -8.959, "mass_density_kg_m3": 13505}

=====

[3]
{"formula": "HfNpPb", "functional": "PBE", "state": "optimized geometry", "lattice_angstrom": [[3.8965, 0.0000, 0.0000], [0.0000, 3.8965, 0.0000], [0.0000, 0.0000, 9.2827]], "species": ["Hf", "Hf", "Np", "Np", "Pb", "Pb"], "fractional_positions": [[0.2500, 0.2500, 0.0985], [0.7500, 0.7500, 0.9015], [0.2500, 0.7500, 0.5000], [0.7500, 0.2500, 0.5000], [0.2500, 0.2500, 0.7753], [0.7500, 0.7500, 0.2247]], "final_energy_ev_per_atom": -8.675, "mass_density_kg_m3": 14673}